The following is a DFT calculation (PBE-GGA) of a relaxed InRu2C crystal.

Values from the calculation:
E_tot: -7.28 eV/atom
ΔE_f: 8.14 kcal/mol of atoms
Magnetic moment: 0.000 μB/f.u.
Excess energy over the best structure of this formula in the dataset: 0 meV per atom

Cell: 6.5070 6.5070 5.3480 Å, 52.53 52.53 90.00°
Fractional coordinates of all 8 atoms:
In  0.0000  0.0000  0.0000
In  0.7500  0.2500  0.5000
C  0.5000  0.5000  0.0000
C  0.2500  0.7500  0.5000
Ru  0.2302  0.6250  0.2500
Ru  0.5198  0.1250  0.2500
Ru  0.3750  0.4802  0.7500
Ru  0.8750  0.7698  0.7500

---

The following is a DFT calculation (PBE-GGA) of a relaxed In3RuC crystal.

Values from the calculation:
E_tot: -4.01 eV/atom
ΔE_f: 30.69 kcal/mol of atoms
Magnetic moment: 2.287 μB/f.u.
Excess energy over the best structure of this formula in the dataset: 192 meV per atom

Cell: 5.1377 5.1377 5.1377 Å, 90.00 90.00 90.00°
Last column: magnetic moment on the atom in μB.
Fractional coordinates of all 5 atoms:
Ru  0.0000  0.0000  0.0000  0.27
In  0.0000  0.5000  0.0000  -0.03
In  0.0000  0.0000  0.5000  -0.03
In  0.5000  0.0000  0.0000  0.00
C  0.5000  0.5000  0.5000  0.99

---

The following is a DFT calculation (PBE-GGA) of a relaxed In2RuC2 crystal.

Values from the calculation:
E_tot: -4.67 eV/atom
ΔE_f: 45.39 kcal/mol of atoms
Magnetic moment: 0.000 μB/f.u.
Excess energy over the best structure of this formula in the dataset: 407 meV per atom

Cell: 6.9143 6.9143 3.0877 Å, 90.00 90.00 90.00°
Fractional coordinates of all 10 atoms:
C  0.1663  0.6663  0.5000
C  0.6663  0.8337  0.5000
C  0.3337  0.1663  0.5000
C  0.8337  0.3337  0.5000
In  0.6458  0.1458  0.0000
In  0.3542  0.8542  0.0000
In  0.1458  0.3542  0.0000
In  0.8542  0.6458  0.0000
Ru  0.0000  0.0000  0.0000
Ru  0.5000  0.5000  0.0000

---

The following is a DFT calculation (PBE-GGA) of a relaxed In2Ru2C crystal.

Values from the calculation:
E_tot: -4.82 eV/atom
ΔE_f: 42.26 kcal/mol of atoms
Magnetic moment: 1.419 μB/f.u.
Excess energy over the best structure of this formula in the dataset: 1423 meV per atom

Cell: 3.8064 3.8064 6.9670 Å, 74.15 74.15 90.00°
Last column: magnetic moment on the atom in μB.
Fractional coordinates of all 5 atoms:
In  0.2500  0.7500  0.5000  -0.02
In  0.7500  0.2500  0.5000  -0.02
Ru  0.4081  0.4081  0.1839  0.72
Ru  0.5919  0.5919  0.8161  0.72
C  0.0000  0.0000  0.0000  -0.03

---

The following is a DFT calculation (PBE-GGA) of a relaxed Sc2InRuC crystal.

Values from the calculation:
E_tot: -7.27 eV/atom
ΔE_f: -11.40 kcal/mol of atoms
Magnetic moment: 0.000 μB/f.u.

Cell: 4.6127 4.6127 3.9692 Å, 90.00 90.00 90.00°
Fractional coordinates of all 5 atoms:
Sc  0.0000  0.5000  0.0000
Sc  0.5000  0.0000  0.0000
Ru  0.0000  0.0000  0.5000
C  0.0000  0.0000  0.0000
In  0.5000  0.5000  0.5000

---

The following is a DFT calculation (PBE-GGA) of a relaxed ScInRu2C crystal.

Values from the calculation:
E_tot: -7.56 eV/atom
ΔE_f: -4.37 kcal/mol of atoms
Magnetic moment: 0.000 μB/f.u.

Cell: 4.1567 4.1567 4.3352 Å, 90.00 90.00 90.00°
Fractional coordinates of all 5 atoms:
Ru  0.0000  0.5000  0.0000
Ru  0.5000  0.0000  0.0000
In  0.5000  0.5000  0.5000
C  0.0000  0.0000  0.0000
Sc  0.0000  0.0000  0.5000

---

The following is a DFT calculation (PBE-GGA) of a relaxed Sm2InRuC crystal.

Values from the calculation:
E_tot: -6.49 eV/atom
ΔE_f: -8.18 kcal/mol of atoms
Magnetic moment: 0.000 μB/f.u.

Cell: 3.9486 5.1880 5.1880 Å, 90.00 90.00 90.00°
Fractional coordinates of all 5 atoms:
Sm  0.0000  0.5000  0.0000
Sm  0.0000  0.0000  0.5000
In  0.5000  0.5000  0.5000
C  0.0000  0.0000  0.0000
Ru  0.5000  0.0000  0.0000

---

The following is a DFT calculation (PBE-GGA) of a relaxed SrInRuC2 crystal.

Values from the calculation:
E_tot: -3.29 eV/atom
ΔE_f: 72.38 kcal/mol of atoms
Magnetic moment: 0.000 μB/f.u.

Cell: 4.3599 5.8509 4.3599 Å, 90.00 90.00 90.00°
Fractional coordinates of all 5 atoms:
C  0.0000  0.0000  0.5000
C  0.5000  0.0000  0.0000
Sr  0.0000  0.0000  0.0000
In  0.0000  0.5000  0.0000
Ru  0.5000  0.5000  0.5000

---

The following is a DFT calculation (PBE-GGA) of a relaxed Sr2InRuC crystal.

Values from the calculation:
E_tot: -4.90 eV/atom
ΔE_f: 0.36 kcal/mol of atoms
Magnetic moment: 0.000 μB/f.u.

Cell: 5.5411 5.5411 3.9486 Å, 90.00 90.00 90.00°
Fractional coordinates of all 5 atoms:
Ru  0.0000  0.0000  0.5000
In  0.5000  0.5000  0.5000
Sr  0.0000  0.5000  0.0000
Sr  0.5000  0.0000  0.0000
C  0.0000  0.0000  0.0000

---

The following is a DFT calculation (PBE-GGA) of a relaxed Th2InRuC crystal.

Values from the calculation:
E_tot: -7.51 eV/atom
ΔE_f: -6.80 kcal/mol of atoms
Magnetic moment: 0.000 μB/f.u.

Cell: 3.7613 7.7212 9.3996 Å, 122.21 90.00 90.00°
Fractional coordinates of all 10 atoms:
Th  0.7500  0.7522  0.6137
Th  0.2500  0.2063  0.9951
Th  0.7500  0.7937  0.0049
Th  0.2500  0.2478  0.3863
C  0.2500  0.8345  0.8244
C  0.7500  0.1655  0.1756
Ru  0.7500  0.4895  0.2849
Ru  0.2500  0.5105  0.7151
In  0.7500  0.2378  0.7070
In  0.2500  0.7622  0.2930

---

The following is a DFT calculation (PBE-GGA) of a relaxed TlInRu2C crystal.

Values from the calculation:
E_tot: -5.90 eV/atom
ΔE_f: 15.61 kcal/mol of atoms
Magnetic moment: 0.000 μB/f.u.

Cell: 4.2085 4.5455 4.2085 Å, 90.00 90.00 90.00°
Fractional coordinates of all 5 atoms:
Tl  0.5000  0.5000  0.5000
Ru  0.5000  0.0000  0.0000
Ru  0.0000  0.0000  0.5000
In  0.0000  0.5000  0.0000
C  0.0000  0.0000  0.0000

---

The following is a DFT calculation (PBE-GGA) of a relaxed InRuW2C crystal.

Values from the calculation:
E_tot: -7.67 eV/atom
ΔE_f: 40.46 kcal/mol of atoms
Magnetic moment: 0.000 μB/f.u.

Cell: 4.9170 3.7877 4.9170 Å, 90.00 90.00 90.00°
Fractional coordinates of all 5 atoms:
W  0.5000  0.0000  0.0000
W  0.0000  0.0000  0.5000
C  0.0000  0.5000  0.0000
In  0.5000  0.5000  0.5000
Ru  0.0000  0.0000  0.0000

---

The following is a DFT calculation (PBE-GGA) of a relaxed Y2InRuC crystal.

Values from the calculation:
E_tot: -7.26 eV/atom
ΔE_f: -9.94 kcal/mol of atoms
Magnetic moment: 0.000 μB/f.u.

Cell: 5.0345 5.0345 3.9554 Å, 90.00 90.00 90.00°
Fractional coordinates of all 5 atoms:
Y  0.0000  0.5000  0.0000
Y  0.5000  0.0000  0.0000
Ru  0.0000  0.0000  0.5000
C  0.0000  0.0000  0.0000
In  0.5000  0.5000  0.5000

---

The following is a DFT calculation (PBE-GGA) of a relaxed InC3S crystal.

Values from the calculation:
ΔE_f (raw): 332.2 kJ per mole of atoms
E_tot: -3.46 eV/atom
Magnetic moment: 1.653 μB/f.u.
Excess energy over the best structure of this formula in the dataset: 965 meV per atom

Cell: 4.3646 4.3646 4.3646 Å, 90.00 90.00 90.00°
Last column: magnetic moment on the atom in μB.
Fractional coordinates of all 5 atoms:
C  0.0000  0.0000  0.5000  0.33
C  0.0000  0.5000  0.0000  0.39
C  0.5000  0.0000  0.0000  0.32
In  0.0000  0.0000  0.0000  0.00
S  0.5000  0.5000  0.5000  -0.23

---

The following is a DFT calculation (PBE-GGA) of a relaxed InC3S crystal.

Values from the calculation:
ΔE_f (raw): 239.1 kJ per mole of atoms
E_tot: -4.43 eV/atom
Magnetic moment: 0.000 μB/f.u.
Excess energy over the best structure of this formula in the dataset: 0 meV per atom

Cell: 3.7653 3.7653 3.7653 Å, 90.00 90.00 90.00°
Fractional coordinates of all 5 atoms:
S  0.0000  0.0000  0.0000
C  0.0000  0.5000  0.0000
C  0.0000  0.0000  0.5000
C  0.5000  0.0000  0.0000
In  0.5000  0.5000  0.5000

---

The following is a DFT calculation (PBE-GGA) of a relaxed In2SiCS crystal.

Values from the calculation:
ΔE_f (raw): 65.1 kJ per mole of atoms
E_tot: -4.18 eV/atom
Magnetic moment: 0.011 μB/f.u.

Cell: 5.3616 3.5567 5.3616 Å, 90.00 90.00 90.00°
Fractional coordinates of all 5 atoms:
In  0.0000  0.0000  0.5000
In  0.5000  0.0000  0.0000
C  0.0000  0.5000  0.0000
S  0.5000  0.5000  0.5000
Si  0.0000  0.0000  0.0000

---

The following is a DFT calculation (PBE-GGA) of a relaxed In2SbC crystal.

Values from the calculation:
ΔE_f (raw): 61.9 kJ per mole of atoms
E_tot: -4.06 eV/atom
Magnetic moment: 0.000 μB/f.u.

Cell: 6.0373 6.0373 6.9221 Å, 64.15 64.15 90.00°
Fractional coordinates of all 8 atoms:
In  0.3750  0.4748  0.7500
In  0.5252  0.1250  0.2500
In  0.8750  0.7752  0.7500
In  0.2248  0.6250  0.2500
Sb  0.0000  0.0000  0.0000
Sb  0.7500  0.2500  0.5000
C  0.5000  0.5000  0.0000
C  0.2500  0.7500  0.5000

---

The following is a DFT calculation (PBE-GGA) of a relaxed InSb2C crystal.

Values from the calculation:
ΔE_f (raw): 64.4 kJ per mole of atoms
E_tot: -4.38 eV/atom
Magnetic moment: 0.000 μB/f.u.
Excess energy over the best structure of this formula in the dataset: 241 meV per atom

Cell: 3.3179 5.1578 6.5077 Å, 69.95 85.09 73.04°
Fractional coordinates of all 4 atoms:
In  0.1165  0.3569  0.7241
Sb  0.8358  0.9982  0.4099
Sb  0.0601  0.6866  0.0891
C  0.2108  0.2890  0.3732

---

The following is a DFT calculation (PBE-GGA) of a relaxed InSb2C crystal.

Values from the calculation:
ΔE_f (raw): 45.4 kJ per mole of atoms
E_tot: -4.58 eV/atom
Magnetic moment: 0.000 μB/f.u.
Excess energy over the best structure of this formula in the dataset: 45 meV per atom

Cell: 5.1707 6.7682 7.2520 Å, 81.71 78.29 68.22°
Fractional coordinates of all 8 atoms:
Sb  0.5092  0.0114  0.3331
Sb  0.7040  0.3343  0.4171
Sb  0.8346  0.1957  0.7978
Sb  0.3631  0.5773  0.8853
C  0.1300  0.6296  0.6515
C  0.2624  0.5506  0.4869
In  0.0081  0.6445  0.2522
In  0.6690  0.8612  0.7087

---

The following is a DFT calculation (PBE-GGA) of a relaxed InSb2C crystal.

Values from the calculation:
ΔE_f (raw): 48.3 kJ per mole of atoms
E_tot: -4.55 eV/atom
Magnetic moment: 0.000 μB/f.u.
Excess energy over the best structure of this formula in the dataset: 75 meV per atom

Cell: 6.2209 6.2506 7.0334 Å, 63.36 70.94 62.32°
Fractional coordinates of all 8 atoms:
C  0.8910  0.2738  0.7322
C  0.7373  0.2693  0.6417
Sb  0.5291  0.0790  0.3152
Sb  0.5987  0.9596  0.7514
Sb  0.0229  0.0122  0.0459
Sb  0.5741  0.5679  0.3501
In  0.0890  0.4752  0.0736
In  0.0776  0.5583  0.6224

---

The following is a DFT calculation (PBE-GGA) of a relaxed InSb2C crystal.

Values from the calculation:
ΔE_f (raw): 41.1 kJ per mole of atoms
E_tot: -4.63 eV/atom
Magnetic moment: 0.000 μB/f.u.
Excess energy over the best structure of this formula in the dataset: 0 meV per atom

Cell: 5.1491 11.6084 8.5091 Å, 90.00 116.95 90.00°
Fractional coordinates of all 16 atoms:
C  0.7874  0.4427  0.9220
C  0.7874  0.0573  0.4220
C  0.7874  0.5573  0.9220
C  0.7874  0.9427  0.4220
In  0.5966  0.3495  0.0816
In  0.5966  0.1505  0.5816
In  0.5966  0.6505  0.0816
In  0.5966  0.8495  0.5816
Sb  0.0722  0.0000  0.0670
Sb  0.9868  0.1650  0.2930
Sb  0.9868  0.8350  0.2930
Sb  0.9868  0.6650  0.7930
Sb  0.9868  0.3350  0.7930
Sb  0.4712  0.5000  0.3077
Sb  0.4712  0.0000  0.8077
Sb  0.0722  0.5000  0.5670

---

The following is a DFT calculation (PBE-GGA) of a relaxed InSbC3 crystal.

Values from the calculation:
ΔE_f (raw): 257.8 kJ per mole of atoms
E_tot: -4.23 eV/atom
Magnetic moment: 1.061 μB/f.u.
Excess energy over the best structure of this formula in the dataset: 0 meV per atom

Cell: 4.2969 4.2969 4.2969 Å, 90.00 90.00 90.00°
Last column: magnetic moment on the atom in μB.
Fractional coordinates of all 5 atoms:
C  0.0000  0.0000  0.5000  0.17
C  0.0000  0.5000  0.0000  0.20
C  0.5000  0.0000  0.0000  0.17
Sb  0.0000  0.0000  0.0000  0.01
In  0.5000  0.5000  0.5000  0.01

---

The following is a DFT calculation (PBE-GGA) of a relaxed InSb2C crystal.

Values from the calculation:
ΔE_f (raw): 49.4 kJ per mole of atoms
E_tot: -4.54 eV/atom
Magnetic moment: 0.000 μB/f.u.
Excess energy over the best structure of this formula in the dataset: 87 meV per atom

Cell: 5.4165 6.4271 7.7853 Å, 67.95 89.37 66.00°
Fractional coordinates of all 8 atoms:
Sb  0.5414  0.9622  0.8893
Sb  0.1814  0.4934  0.2518
Sb  0.2136  0.9651  0.1878
Sb  0.6728  0.3377  0.9414
In  0.0104  0.3561  0.6372
In  0.1820  0.7758  0.6173
C  0.8038  0.1616  0.5258
C  0.5772  0.2852  0.4168

---

The following is a DFT calculation (PBE-GGA) of a relaxed InSb2C crystal.

Values from the calculation:
ΔE_f (raw): 44.4 kJ per mole of atoms
E_tot: -4.59 eV/atom
Magnetic moment: 0.000 μB/f.u.
Excess energy over the best structure of this formula in the dataset: 34 meV per atom

Cell: 5.8009 6.6682 6.7505 Å, 96.98 106.93 104.52°
Fractional coordinates of all 8 atoms:
In  0.6035  0.6186  0.3838
In  0.6166  0.2150  0.7218
C  0.4798  0.5917  0.6601
C  0.3778  0.5983  0.7989
Sb  0.1161  0.9815  0.0625
Sb  0.6448  0.2185  0.1967
Sb  0.1666  0.5615  0.0078
Sb  0.9820  0.0194  0.4532

---

The following is a DFT calculation (PBE-GGA) of a relaxed InSb2C crystal.

Values from the calculation:
ΔE_f (raw): 47.3 kJ per mole of atoms
E_tot: -4.56 eV/atom
Magnetic moment: 0.000 μB/f.u.
Excess energy over the best structure of this formula in the dataset: 65 meV per atom

Cell: 4.4508 5.3364 9.0074 Å, 98.77 99.78 91.79°
Fractional coordinates of all 8 atoms:
Sb  0.2097  0.2197  0.6490
Sb  0.8144  0.9457  0.8144
Sb  0.2894  0.6633  0.9837
Sb  0.7316  0.5511  0.5421
In  0.8609  0.4681  0.1605
In  0.3740  0.1018  0.2349
C  0.1288  0.9659  0.4229
C  0.9691  0.7473  0.3879

---

The following is a DFT calculation (PBE-GGA) of a relaxed InSb2C crystal.

Values from the calculation:
ΔE_f (raw): 50.9 kJ per mole of atoms
E_tot: -4.52 eV/atom
Magnetic moment: 0.000 μB/f.u.
Excess energy over the best structure of this formula in the dataset: 102 meV per atom

Cell: 5.5437 7.5109 7.5600 Å, 118.88 107.93 93.47°
Fractional coordinates of all 8 atoms:
In  0.0264  0.3592  0.4529
In  0.6385  0.4983  0.0839
C  0.2248  0.7209  0.3698
C  0.0427  0.6066  0.3625
Sb  0.5326  0.0941  0.0522
Sb  0.8313  0.8909  0.7973
Sb  0.5549  0.8947  0.3955
Sb  0.6291  0.4677  0.6813